No. 1
Entry from the Open Quantum Materials Database: an optimized crystal structure of MgPaPO (PBE-GGA).

Geometry as POSCAR:
```
MgPaPO
1.0
4.5887 0.0000 0.0000
0.0000 5.9487 0.0000
0.0000 0.0000 5.8128
Mg P Pa O
2 2 2 2
direct
0.0000 0.6389 0.5344
0.0000 0.3611 0.0344
0.5000 0.2453 0.9144
0.5000 0.7547 0.4144
0.5000 0.2334 0.4211
0.5000 0.7666 0.9211
0.0000 0.3334 0.3841
0.0000 0.6666 0.8841
```

Output
The calculation puts the total energy at -6.62 eV per atom. The energy above the lowest structure with this stoichiometry is 0.0000 eV per atom.



No. 2
Entry from the Open Quantum Materials Database: an optimized crystal structure of MgPaPO (PBE-GGA).

Geometry as POSCAR:
```
MgPaPO
1.0
-2.2120 3.1589 -1.6434
1.0428 -1.2752 -3.8547
-7.7101 -5.5319 -0.2558
O Pa Mg P
2 2 2 2
direct
0.0000 0.5000 0.0000
0.5000 0.0000 0.0000
0.0000 0.5000 0.5000
0.5000 0.0000 0.5000
0.0000 0.0000 0.0015
0.5000 0.5000 0.9985
0.5000 0.5000 0.3052
0.0000 0.0000 0.6948
```

Output
The calculation puts the total energy at -5.90 eV per atom. The energy above the lowest structure with this stoichiometry is 0.7163 eV per atom.



No. 3
Entry from the Open Quantum Materials Database: an optimized crystal structure of MgPaPO (PBE-GGA).

Geometry as POSCAR:
```
MgPaPO
1.0
3.9773 0.0000 0.0000
0.0000 3.9773 0.0000
0.0000 0.0000 8.8776
P Pa Mg O
2 2 2 2
direct
0.5000 0.0000 0.3095
0.0000 0.5000 0.6905
0.0000 0.5000 0.1499
0.5000 0.0000 0.8501
0.0000 0.0000 0.5000
0.5000 0.5000 0.5000
0.0000 0.0000 0.0000
0.5000 0.5000 0.0000
```

Output
The calculation puts the total energy at -6.59 eV per atom. The energy above the lowest structure with this stoichiometry is 0.0299 eV per atom.



No. 4
Entry from the Open Quantum Materials Database: an optimized crystal structure of MgPPdO (PBE-GGA).

Geometry as POSCAR:
```
MgPPdO
1.0
-0.8738 2.4961 -1.2991
-6.7121 -2.1000 0.4799
-0.3908 2.3344 4.7485
P Pd O Mg
2 2 2 2
direct
0.0000 0.0074 0.5424
0.0000 0.9926 0.0424
0.5000 0.2082 0.8180
0.5000 0.7919 0.3180
0.5000 0.5069 0.0733
0.5000 0.4931 0.5733
0.0000 0.5810 0.8203
0.0000 0.4190 0.3203
```

Output
The calculation puts the total energy at -5.32 eV per atom. The energy above the lowest structure with this stoichiometry is 0.1592 eV per atom.